DFT (GGA+U) results for CaCrAgF6 after structural relaxation.

**Symmetry**: P-31c (163)
**Crystal system**: trigonal

a b c (Å): 5.7589 5.7589 9.6755
angles (deg): 90.00 90.00 120.00
Last column: nearest neighbours and their distance in Å.
Positions (direct):
Ca1 0.3333 0.6667 0.2500  6 F 2.29
Ca2 0.6667 0.3333 0.7500  6 F 2.29
Cr1 0.6667 0.3333 0.2500  6 F 1.96
Cr2 0.3333 0.6667 0.7500  6 F 1.96
Ag1 0.0000 0.0000 0.0000  6 F 2.52
Ag2 0.0000 0.0000 0.5000  6 F 2.52
F1 0.6545 0.6117 0.1397  1 Cr 1.96
F2 0.9572 0.3455 0.1397  1 Cr 1.96
F3 0.3455 0.9572 0.6397  1 Cr 1.96
F4 0.0428 0.6545 0.8603  1 Cr 1.96
F5 0.3883 0.3455 0.3603  1 Cr 1.96
F6 0.9572 0.6117 0.3603  1 Cr 1.96
F7 0.6117 0.9572 0.8603  1 Cr 1.96
F8 0.6545 0.0428 0.3603  1 Cr 1.96
F9 0.0428 0.3883 0.6397  1 Cr 1.96
F10 0.3883 0.0428 0.1397  1 Cr 1.96
F11 0.6117 0.6545 0.6397  1 Cr 1.96
F12 0.3455 0.3883 0.8603  1 Cr 1.96



DFT (GGA+U) results for CaCrAg2F6 after structural relaxation.

**Symmetry**: Pmmn (59)
**Crystal system**: orthorhombic

a b c (Å): 6.1650 6.2757 8.3518
angles (deg): 90.00 90.00 90.00
Last column: nearest neighbours and their distance in Å.
Positions (direct):
Ca1 0.0000 0.6981 0.5000  6 F 2.25-2.27
Ca2 0.5000 0.3019 0.0000  6 F 2.25-2.27
Cr1 0.5000 0.2104 0.5000  6 F 1.99-2.18
Cr2 0.0000 0.7896 0.0000  6 F 1.99-2.18
Ag1 0.5000 0.8242 0.1976  5 F 2.50-2.71
Ag2 0.0000 0.1758 0.6976  5 F 2.50-2.71
Ag3 0.5000 0.8242 0.8024  5 F 2.50-2.71
Ag4 0.0000 0.1758 0.3024  5 F 2.50-2.71
F1 0.5000 0.2131 0.2615  1 Cr 1.99
F2 0.5000 0.2131 0.7385  1 Cr 1.99
F3 0.0000 0.7869 0.2385  1 Cr 1.99
F4 0.0000 0.7869 0.7615  1 Cr 1.99
F5 0.2641 0.9508 0.5000  1 Cr 2.18, 1 Ca 2.27
F6 0.7359 0.9508 0.5000  1 Cr 2.18, 1 Ca 2.27
F7 0.2221 0.4127 0.5000  1 Cr 2.13, 1 Ca 2.25
F8 0.7779 0.4127 0.5000  1 Cr 2.13, 1 Ca 2.25
F9 0.7221 0.5873 0.0000  1 Cr 2.13, 1 Ca 2.25
F10 0.2779 0.5873 0.0000  1 Cr 2.13, 1 Ca 2.25
F11 0.2359 0.0492 0.0000  1 Cr 2.18, 1 Ca 2.27
F12 0.7641 0.0492 0.0000  1 Cr 2.18, 1 Ca 2.27



So what do the calculations give for total DFT energy (no corrections)? Going down the list: -5.362 -4.899 eV per atom.